# Al2TlAs

An optimized crystal structure of Al2TlAs (PBEsol, the Alexandria database).

abc: 3.677 4.622 5.889
angles: 105.75 90.00 113.44
Atoms (fractional coordinates):
As (0.514, 0.027, 0.601)
Al (0.241, 0.481, 0.736)
Tl (0.756, 0.512, 0.226)
Al (0.990, 0.979, 0.937)

Results
Total magnetization in μB per formula unit: 0.00
Calculated density in g/cm³: 6.31
Space group: No. 8
D(E_F) in states/eV/cell: 1.89
ΔH_f (0 K) in eV per atom: 0.13



# AlTlAs2

An optimized crystal structure of AlTlAs2 (PBEsol, the Alexandria database).

abc: 3.250 5.072 5.838
angles: 115.74 106.16 90.00
Atoms (fractional coordinates):
As (0.708, 0.708, 0.416)
Al (0.000, 0.500, 0.000)
As (0.292, 0.292, 0.584)
Tl (0.500, 0.000, 0.000)

Results
Total magnetization in μB per formula unit: 0.00
Calculated density in g/cm³: 7.68
Space group: No. 71
D(E_F) in states/eV/cell: 1.79
ΔH_f (0 K) in eV per atom: 0.20



# Al2TlAs

An optimized crystal structure of Al2TlAs (PBEsol, the Alexandria database).

abc: 3.691 3.691 7.464
angles: 75.68 75.68 60.00
Atoms (fractional coordinates):
Al (0.235, 0.235, 0.295)
Al (0.765, 0.765, 0.705)
As (0.500, 0.500, 0.500)
Tl (0.000, 0.000, 0.000)

Results
Total magnetization in μB per formula unit: 0.00
Calculated density in g/cm³: 6.56
Space group: No. 166
D(E_F) in states/eV/cell: 1.15
ΔH_f (0 K) in eV per atom: -0.01



# AlTlAs2

An optimized crystal structure of AlTlAs2 (PBEsol, the Alexandria database).

abc: 3.760 3.999 6.148
angles: 90.00 90.00 90.00
Atoms (fractional coordinates):
Tl (0.500, 0.000, 0.515)
As (0.000, 0.000, 0.088)
Al (0.500, 0.500, 0.099)
As (0.000, 0.500, 0.799)

Results
Total magnetization in μB per formula unit: 0.00
Calculated density in g/cm³: 6.85
Space group: No. 25
D(E_F) in states/eV/cell: 1.45
ΔH_f (0 K) in eV per atom: 0.13